No. 1
The following is a DFT calculation (PBE) of HgCl2F2 after structural relaxation.

POSCAR file:
```
HgCl2F2
1.0
-3.7348 -0.1183 1.8799
2.8232 -2.4062 0.8037
2.6436 6.3382 5.6509
Hg Cl F
1 2 2
direct
0.0000 0.0000 0.0000
0.9152 0.8303 0.3980
0.0848 0.1697 0.6020
0.7144 0.4287 0.1028
0.2856 0.5713 0.8972
```

Properties
E_form (uncorrected)   -0.812 eV per atom
Space-group type   C2/m (12)
E above lowest polymorph   0.000 eV per atom
Density   4.4 g cm⁻³
Crystal system   monoclinic
Final energy   -2.360 eV/atom
Magnetic moment   0.0 μB per formula unit


No. 2
The following is a DFT calculation (PBE) of HgCl2F3 after structural relaxation.

POSCAR file:
```
HgCl2F3
1.0
-0.0729 -6.9489 1.9347
5.2849 3.3506 3.5886
-4.5630 1.7915 3.6256
Hg Cl F
2 4 6
direct
0.0773 0.9227 0.2500
0.9227 0.0773 0.7500
0.6983 0.3799 0.1035
0.6201 0.3017 0.3965
0.3017 0.6201 0.8965
0.3799 0.6983 0.6035
0.0633 0.2200 0.5144
0.7800 0.9367 0.9856
0.9367 0.7800 0.4856
0.2200 0.0633 0.0144
0.3133 0.6867 0.2500
0.6867 0.3133 0.7500
```

Properties
E_form (uncorrected)   -0.721 eV per atom
Space-group type   C2/c (15)
Density   3.7 g cm⁻³
Crystal system   monoclinic
Final energy   -2.322 eV/atom
Magnetic moment   0.0 μB per formula unit


No. 3
The following is a DFT calculation (PBE) of HgCl2F2 after structural relaxation.

POSCAR file:
```
HgCl2F2
1.0
6.0975 0.0000 0.0000
0.0000 6.0975 0.0000
0.0000 0.0000 6.2794
F Hg Cl
4 2 4
direct
0.3124 0.8124 0.0000
0.8124 0.6876 0.0000
0.6876 0.1876 0.0000
0.1876 0.3124 0.0000
0.0000 0.0000 0.0000
0.5000 0.5000 0.0000
0.1157 0.6157 0.5000
0.6157 0.8843 0.5000
0.8843 0.3843 0.5000
0.3843 0.1157 0.5000
```

Properties
E_form (uncorrected)   -0.719 eV per atom
Space-group type   P4/mbm (127)
E above lowest polymorph   0.094 eV per atom
Density   4.4 g cm⁻³
Crystal system   tetragonal
Final energy   -2.266 eV/atom
Magnetic moment   0.0 μB per formula unit


No. 4
The following is a DFT calculation (PBE) of Hg4Cl3F2 after structural relaxation.

POSCAR file:
```
Hg4Cl3F2
1.0
3.9526 0.0000 0.0000
-1.9763 6.5147 -0.2030
0.0000 -2.1287 8.9314
Hg Cl F
4 3 2
direct
0.6622 0.3245 0.0245
0.0957 0.1915 0.5906
0.9043 0.8085 0.4094
0.3378 0.6755 0.9755
0.2978 0.5955 0.6875
0.0000 0.0000 0.0000
0.7022 0.4045 0.3125
0.3842 0.7685 0.2280
0.6158 0.2315 0.7720
```

Properties
E_form (uncorrected)   -0.710 eV per atom
Space-group type   C2/m (12)
Density   6.9 g cm⁻³
Crystal system   monoclinic
Final energy   -1.876 eV/atom
Magnetic moment   0.0 μB per formula unit


No. 5
The following is a DFT calculation (PBE) of Hg2Cl3F after structural relaxation.

POSCAR file:
```
Hg2Cl3F
1.0
-0.9735 0.4706 3.8762
7.2151 -2.2133 4.1696
3.2573 9.6734 1.7326
Hg Cl F
4 6 2
direct
0.8623 0.4440 0.8314
0.1377 0.5560 0.1686
0.6016 0.2730 0.5238
0.3984 0.7270 0.4762
0.0337 0.1896 0.7431
0.9663 0.8104 0.2569
0.6890 0.6841 0.9380
0.3110 0.3159 0.0620
0.7850 0.8320 0.5980
0.2150 0.1680 0.4020
0.4329 0.4871 0.6471
0.5671 0.5129 0.3529
```

Properties
E_form (uncorrected)   -0.782 eV per atom
Space-group type   C2/m (12)
E above lowest polymorph   0.025 eV per atom
Density   5.1 g cm⁻³
Crystal system   monoclinic
Final energy   -2.118 eV/atom
Magnetic moment   0.0 μB per formula unit


No. 6
The following is a DFT calculation (PBE) of HgCl2F after structural relaxation.

POSCAR file:
```
HgCl2F
1.0
0.0000 3.3232 3.3232
3.3232 0.0000 3.3232
3.3232 3.3232 0.0000
F Hg Cl
1 1 2
direct
0.0000 0.0000 0.0000
0.5000 0.5000 0.5000
0.2500 0.2500 0.2500
0.7500 0.7500 0.7500
```

Properties
E_form (uncorrected)   -0.163 eV per atom
Space-group type   Fm-3m (225)
E above lowest polymorph   0.399 eV per atom
Density   6.6 g cm⁻³
Crystal system   cubic
Final energy   -1.629 eV/atom
Magnetic moment   1.0 μB per formula unit


No. 7
The following is a DFT calculation (PBE) of HgCl3F12 after structural relaxation.

POSCAR file:
```
HgCl3F12
1.0
-8.0208 3.8710 6.0495
-9.0107 -5.7451 1.3098
-3.3910 -3.1508 7.1007
Hg Cl F
2 6 24
direct
0.9258 0.9258 0.2225
0.4258 0.4258 0.7225
0.6809 0.3435 0.9711
0.1809 0.5045 0.4711
0.8435 0.1809 0.4711
0.3435 0.0045 0.9711
0.0045 0.6809 0.9711
0.5045 0.8435 0.4711
0.1358 0.0697 0.9810
0.0647 0.4515 0.4573
0.8005 0.0256 0.4742
0.8174 0.3737 0.9797
0.3174 0.3292 0.4797
0.3005 0.1998 0.9742
0.5647 0.5265 0.9573
0.0256 0.6998 0.4742
0.6358 0.3134 0.4810
0.0265 0.0647 0.4573
0.8737 0.3174 0.4797
0.3134 0.5697 0.4810
0.1998 0.5256 0.9742
0.8134 0.1358 0.9810
0.3737 0.8292 0.9797
0.5265 0.9515 0.9573
0.9515 0.5647 0.9573
0.5256 0.3005 0.9742
0.5697 0.6358 0.4810
0.8292 0.8174 0.9797
0.3292 0.8737 0.4797
0.0697 0.8134 0.9810
0.4515 0.0265 0.4573
0.6998 0.8005 0.4742
```

Properties
E_form (uncorrected)   -0.760 eV per atom
Space-group type   R3c (161)
Density   3.1 g cm⁻³
Crystal system   trigonal
Final energy   -2.528 eV/atom
Magnetic moment   1.0 μB per formula unit


No. 8
The following is a DFT calculation (PBE) of HgClF after structural relaxation.

POSCAR file:
```
HgClF
1.0
-3.3271 -0.9791 2.6473
-3.8443 -1.1990 -1.6794
-1.3492 -4.1326 0.3713
F Hg Cl
1 1 1
direct
0.0000 0.0000 0.0000
0.2500 0.2500 0.2500
0.5000 0.5000 0.5000
```

Properties
E_form (uncorrected)   -0.870 eV per atom
Space-group type   F-43m (216)
E above lowest polymorph   0.141 eV per atom
Density   7.2 g cm⁻³
Crystal system   cubic
Final energy   -2.210 eV/atom
Magnetic moment   0.0 μB per formula unit


No. 9
The following is a DFT calculation (PBE) of HgCl2F after structural relaxation.

POSCAR file:
```
HgCl2F
1.0
-3.5875 -1.2568 -0.2800
4.4052 -3.9656 -1.7232
0.5334 -3.7473 9.9870
Hg Cl F
2 4 2
direct
0.8968 0.6983 0.7500
0.1032 0.3017 0.2500
0.4772 0.9918 0.6185
0.5228 0.0082 0.3815
0.4772 0.9918 0.8815
0.5228 0.0082 0.1185
0.7042 0.5288 0.2500
0.2958 0.4712 0.7500
```

Properties
E_form (uncorrected)   -0.561 eV per atom
Space-group type   P2_1/m (11)
E above lowest polymorph   0.000 eV per atom
Density   4.3 g cm⁻³
Crystal system   monoclinic
Final energy   -2.028 eV/atom
Magnetic moment   0.0 μB per formula unit


No. 10
The following is a DFT calculation (PBE) of HgClF after structural relaxation.

POSCAR file:
```
HgClF
1.0
4.2284 0.0000 0.0000
0.2920 4.2434 0.0000
1.2097 1.1351 7.2951
F Hg Cl
2 2 2
direct
0.6966 0.7671 0.0874
0.1908 0.2579 0.3312
0.9470 0.0673 0.6795
0.1646 0.7960 0.1985
0.6913 0.7356 0.5271
0.2396 0.2753 0.8724
```

Properties
E_form (uncorrected)   -0.955 eV per atom
Space-group type   P1 (1)
E above lowest polymorph   0.056 eV per atom
Density   6.5 g cm⁻³
Crystal system   triclinic
Final energy   -2.295 eV/atom
Magnetic moment   0.0 μB per formula unit


No. 11
The following is a DFT calculation (PBE) of HgClF3 after structural relaxation.

POSCAR file:
```
HgClF3
1.0
-7.0546 0.0241 -1.6307
-1.2423 -6.2145 5.2824
-1.9278 1.4332 8.3609
Hg Cl F
4 4 12
direct
0.2499 0.9999 0.4909
0.7501 0.0001 0.5091
0.7499 0.0001 0.0091
0.2501 0.9999 0.9909
0.1266 0.5000 0.0381
0.8734 0.5000 0.9619
0.6266 0.5000 0.4619
0.3734 0.5000 0.5381
0.2503 0.0000 0.7412
0.7497 0.0000 0.2588
0.7503 0.0000 0.7588
0.2497 0.0000 0.2412
0.5469 0.7967 0.6109
0.4531 0.2033 0.3891
0.0469 0.2033 0.8891
0.9531 0.7967 0.1109
0.0468 0.7965 0.5924
0.9532 0.2035 0.4076
0.5468 0.2035 0.9076
0.4532 0.7965 0.0924
```

Properties
E_form (uncorrected)   -0.888 eV per atom
Space-group type   P2_1/c (14)
E above lowest polymorph   0.000 eV per atom
Density   4.4 g cm⁻³
Crystal system   monoclinic
Final energy   -2.440 eV/atom
Magnetic moment   0.2 μB per formula unit


No. 12
The following is a DFT calculation (PBE) of HgClF after structural relaxation.

POSCAR file:
```
HgClF
1.0
3.8235 0.0000 -0.0001
0.0000 6.2030 2.4915
-0.0004 1.1446 6.6934
Hg Cl F
2 2 2
direct
0.4300 0.2700 0.1885
0.9300 0.7227 0.6667
0.9300 0.2040 0.4889
0.4300 0.7887 0.3662
0.4300 0.6735 0.8961
0.9300 0.3193 0.9590
```

Properties
E_form (uncorrected)   -0.986 eV per atom
Space-group type   P2_1/m (11)
E above lowest polymorph   0.026 eV per atom
Density   5.7 g cm⁻³
Crystal system   monoclinic
Final energy   -2.326 eV/atom
Magnetic moment   0.0 μB per formula unit


Among the records above, which one has the lowest final energy? HgCl3F12


Look up the density of the fifth one. 5.1 g cm⁻³